Record 1
Here is KSn2Pt2 at its PBEsol-relaxed geometry from Alexandria. Energies are from SCAN.

The space group is I4/mmm (No. 139) and the conventional cell measures 4.694, 4.694 and 10.520 Å, with angles of 90.00, 90.00 and 90.00 degrees. The distinct sites, in fractional coordinates, are K at (0.000, 0.000, 0.000), Sn at (0.000, 0.500, 0.250) and Pt at (0.000, 0.000, 0.373).

The electronic total energy is -1.639 Ha/atom. For the formation energy from the elements, the calculation gives -0.497 eV per atom. The value obtained for the spin magnetization is 0.0 μB per cell.

***

Record 2
Here is K2SnPt2 at its PBEsol-relaxed geometry from Alexandria. Energies are from SCAN.

The space group is P4/mbm (No. 127) and the conventional cell measures 6.772, 6.772 and 5.433 Å, with angles of 90.00, 90.00 and 90.00 degrees. The distinct sites, in fractional coordinates, are K at (0.171, 0.329, 0.000), Sn at (0.000, 0.000, 0.500) and Pt at (0.135, 0.635, 0.500).

The electronic total energy is -1.429 Ha/atom. For the formation energy from the elements, the calculation gives -0.293 eV per atom. The value obtained for the spin magnetization is 0.0 μB per cell.

***

Record 3
Here is K2Sn2Pt at its PBEsol-relaxed geometry from Alexandria. Energies are from SCAN.

The space group is P4/mbm (No. 127) and the conventional cell measures 6.964, 6.964 and 5.815 Å, with angles of 90.00, 90.00 and 90.00 degrees. The distinct sites, in fractional coordinates, are K at (0.181, 0.319, 0.000), Sn at (0.145, 0.645, 0.500) and Pt at (0.000, 0.000, 0.500).

The electronic total energy is -1.181 Ha/atom. For the formation energy from the elements, the calculation gives -0.385 eV per atom. The value obtained for the spin magnetization is 0.0 μB per cell.

***

Record 4
Here is KSrPt4 at its PBEsol-relaxed geometry from Alexandria. Energies are from SCAN.

The space group is F-43m (No. 216) and the conventional cell measures 7.709, 7.709 and 7.709 Å, with angles of 90.00, 90.00 and 90.00 degrees. The distinct sites, in fractional coordinates, are K at (0.000, 0.000, 0.000), Sr at (0.250, 0.250, 0.250) and Pt at (0.125, 0.125, 0.625).

The electronic total energy is -1.933 Ha/atom. For the formation energy from the elements, the calculation gives -0.699 eV per atom. The value obtained for the spin magnetization is 0.0 μB per cell.

***

Record 5
Here is KSr2Pt at its PBEsol-relaxed geometry from Alexandria. Energies are from SCAN.

The space group is C2/m (No. 12) and the conventional cell measures 7.577, 4.367 and 11.020 Å, with angles of 90.00, 103.13 and 90.00 degrees. The distinct sites, in fractional coordinates, are K at (0.000, 0.000, 0.000), Sr at (0.215, 0.000, 0.645) and Pt at (0.000, 0.500, 0.500).

The electronic total energy is -1.150 Ha/atom. For the formation energy from the elements, the calculation gives -0.525 eV per atom. The value obtained for the spin magnetization is 0.0 μB per cell.

***

Record 6
Here is KSrPt2 at its PBEsol-relaxed geometry from Alexandria. Energies are from SCAN.

The space group is F-43m (No. 216) and the conventional cell measures 7.015, 7.015 and 7.015 Å, with angles of 90.00, 90.00 and 90.00 degrees. The distinct sites, in fractional coordinates, are K at (0.000, 0.000, 0.000), Sr at (0.250, 0.250, 0.750), Pt at (0.000, 0.000, 0.500) and Pt at (0.250, 0.250, 0.250).

The electronic total energy is -1.576 Ha/atom. For the formation energy from the elements, the calculation gives -0.151 eV per atom. The value obtained for the spin magnetization is 0.0 μB per cell.

***

Record 7
Here is KSrPt2 at its PBEsol-relaxed geometry from Alexandria. Energies are from SCAN.

The space group is Cm (No. 8) and the conventional cell measures 11.563, 2.964 and 5.480 Å, with angles of 90.00, 104.50 and 90.00 degrees. The distinct sites, in fractional coordinates, are K at (0.000, 0.000, 0.000), Sr at (0.193, 0.000, 0.616), Pt at (0.264, 0.500, 0.160) and Pt at (0.440, 0.000, 0.466).

The electronic total energy is -1.581 Ha/atom. For the formation energy from the elements, the calculation gives -0.270 eV per atom. The value obtained for the spin magnetization is 0.0 μB per cell.

***

Record 8
Here is KSrPt2 at its PBEsol-relaxed geometry from Alexandria. Energies are from SCAN.

The space group is R3m (No. 160, hexagonal axes) and the conventional cell measures 4.3693, 4.3693 and 24.9634 Å, with angles of 90.00, 90.00 and 120.00 degrees. The distinct sites, in fractional coordinates, are K at (0.0000, 0.0000, 0.0000), Sr at (0.0000, 0.0000, 0.1645), Pt at (0.0000, 0.0000, 0.4241) and Pt at (0.0000, 0.0000, 0.7575).

The electronic total energy is -1.592 Ha/atom. For the formation energy from the elements, the calculation gives -0.576 eV per atom. The value obtained for the spin magnetization is 0.2 μB per cell.

***

Record 9
Here is KTaPt2 at its PBEsol-relaxed geometry from Alexandria. Energies are from SCAN.

The space group is P4/mmm (No. 123) and the conventional cell measures 5.104, 5.104 and 2.761 Å, with angles of 90.00, 90.00 and 90.00 degrees. The distinct sites, in fractional coordinates, are K at (0.000, 0.000, 0.000), Ta at (0.500, 0.500, 0.000) and Pt at (0.000, 0.500, 0.500).

The electronic total energy is -1.978 Ha/atom. For the formation energy from the elements, the calculation gives -0.009 eV per atom. The value obtained for the spin magnetization is 0.0 μB per cell.

***

Record 10
Here is KTa2Pt at its PBEsol-relaxed geometry from Alexandria. Energies are from SCAN.

The space group is P4/mmm (No. 123) and the conventional cell measures 2.793, 2.793 and 10.606 Å, with angles of 90.00, 90.00 and 90.00 degrees. The distinct sites, in fractional coordinates, are K at (0.000, 0.000, 0.000), Ta at (0.500, 0.500, 0.310) and Pt at (0.000, 0.000, 0.500).

The electronic total energy is -1.930 Ha/atom. For the formation energy from the elements, the calculation gives 0.401 eV per atom. The calculation puts the polymorph energy (0 for the lowest one) at 0.000 eV per atom. The value obtained for the spin magnetization is 0.0 μB per cell.

***

Record 11
Here is KTa3Pt at its PBEsol-relaxed geometry from Alexandria. Energies are from SCAN.

The space group is Pm-3m (No. 221) and the conventional cell measures 4.972, 4.972 and 4.972 Å, with angles of 90.00, 90.00 and 90.00 degrees. The distinct sites, in fractional coordinates, are K at (0.000, 0.000, 0.000), Ta at (0.000, 0.500, 0.500) and Pt at (0.500, 0.500, 0.500).

The electronic total energy is -1.996 Ha/atom. For the formation energy from the elements, the calculation gives 1.353 eV per atom. The value obtained for the spin magnetization is 0.0 μB per cell.

***

Record 12
Here is K2TaPt at its PBEsol-relaxed geometry from Alexandria. Energies are from SCAN.

The space group is Pmmm (No. 47) and the conventional cell measures 3.436, 4.287 and 5.912 Å, with angles of 90.00, 90.00 and 90.00 degrees. The distinct sites, in fractional coordinates, are K at (0.000, 0.000, 0.000), K at (0.500, 0.500, 0.000), Ta at (0.000, 0.500, 0.500) and Pt at (0.500, 0.000, 0.500).

The electronic total energy is -1.386 Ha/atom. For the formation energy from the elements, the calculation gives 0.645 eV per atom. The calculation puts the polymorph energy (0 for the lowest one) at 0.473 eV per atom. The value obtained for the spin magnetization is 0.0 μB per cell.

***

Record 13
Here is K2TaPt at its PBEsol-relaxed geometry from Alexandria. Energies are from SCAN.

The space group is P4/mmm (No. 123) and the conventional cell measures 2.822, 2.822 and 11.478 Å, with angles of 90.00, 90.00 and 90.00 degrees. The distinct sites, in fractional coordinates, are K at (0.000, 0.000, 0.216), Ta at (0.500, 0.500, 0.500) and Pt at (0.500, 0.500, 0.000).

The electronic total energy is -1.380 Ha/atom. For the formation energy from the elements, the calculation gives 0.807 eV per atom. The calculation puts the polymorph energy (0 for the lowest one) at 0.635 eV per atom. The value obtained for the spin magnetization is 0.6 μB per cell.

***

Record 14
Here is K2TaPt at its PBEsol-relaxed geometry from Alexandria. Energies are from SCAN.

The space group is Immm (No. 71) and the conventional cell measures 3.176, 4.144 and 20.339 Å, with angles of 90.00, 90.00 and 90.00 degrees. The distinct sites, in fractional coordinates, are K at (0.000, 0.000, 0.145), Ta at (0.000, 0.500, 0.000) and Pt at (0.000, 0.500, 0.500).

The electronic total energy is -1.403 Ha/atom. For the formation energy from the elements, the calculation gives 0.172 eV per atom. The calculation puts the polymorph energy (0 for the lowest one) at 0.000 eV per atom. The value obtained for the spin magnetization is 2.0 μB per cell.

***

Record 15
Here is KTa2Pt at its PBEsol-relaxed geometry from Alexandria. Energies are from SCAN.

The space group is P2/m (No. 10) and the conventional cell measures 2.864, 3.983 and 8.336 Å, with angles of 90.00, 91.11 and 90.00 degrees. The distinct sites, in fractional coordinates, are K at (0.000, 0.000, 0.000), Ta at (0.471, 0.500, 0.652) and Pt at (0.000, 0.000, 0.500).

The electronic total energy is -1.930 Ha/atom. For the formation energy from the elements, the calculation gives 0.406 eV per atom. The calculation puts the polymorph energy (0 for the lowest one) at 0.005 eV per atom. The value obtained for the spin magnetization is 0.0 μB per cell.